LaPtCl2: relaxed, GGA-PBE.

```
LaPtCl2
1.0
0.000 3.542 3.542
3.542 0.000 3.542
3.542 3.542 0.000
La Pt Cl
1 1 2
direct
0.000 0.000 0.000
0.250 0.250 0.250
0.500 0.500 0.500
0.750 0.750 0.750
```

**Spin magnetization**: 0.0002 μB/atom
**Fermi-level density of states**: 4.87 states/eV/f.u.
**Space-group type**: No. 216
**Raw total energy**: -4.7257 eV per atom
**Raw formation energy**: -1.06 eV per atom
**Energy above the most stable polymorph in this dataset**: 205 meV per atom